[1]
The following is a DFT calculation (GGA-PBE) of a relaxed LaV3Fe crystal.

abc: 4.524 4.524 4.524
angles: 90.00 90.00 90.00
Each line ends with the local moment (μB).
Element x y z (fractional)
V1 0.000 0.500 0.000  0.05
V2 0.000 0.000 0.500  0.05
V3 0.500 0.000 0.000  0.05
Fe1 0.500 0.500 0.500  -3.09
La1 0.000 0.000 0.000  0.01

Results
* DOS at the Fermi energy: 7.7 states/eV/f.u.
* volume: 93 Å³/f.u.
* theoretical density: 6.2 g/cm³
* raw total energy: -31.475 eV/cell
* E above lowest polymorph: 6.86 eV per formula unit
* ΔH_f (0 K): 1.854 eV per atom



[2]
The following is a DFT calculation (GGA-PBE) of a relaxed LaTl2P2 crystal.

abc: 7.366 7.366 4.856
angles: 90.00 90.00 90.00
Element x y z (fractional)
P1 0.605 0.105 0.000
P2 0.105 0.395 0.000
P3 0.895 0.605 0.000
P4 0.395 0.895 0.000
Tl1 0.312 0.188 0.500
Tl2 0.688 0.812 0.500
Tl3 0.812 0.312 0.500
Tl4 0.188 0.688 0.500
La1 0.500 0.500 0.000
La2 0.000 0.000 0.000

Results
* DOS at the Fermi energy: 2.8 states/eV/f.u.
* volume: 132 Å³/f.u.
* theoretical density: 7.7 g/cm³
* raw total energy: -44.471 eV/cell
* E above lowest polymorph: 0.49 eV per formula unit
* ΔH_f (0 K): -0.351 eV per atom



[3]
The following is a DFT calculation (GGA-PBE) of a relaxed Ni8Pd2W3 crystal.

abc: 4.627 4.627 9.668
angles: 76.15 76.15 60.00
Element x y z (fractional)
W1 0.184 0.184 0.447
W2 0.000 0.000 0.000
W3 0.816 0.816 0.553
Pd1 0.359 0.359 0.922
Pd2 0.641 0.641 0.078
Ni1 0.729 0.229 0.313
Ni2 0.271 0.271 0.687
Ni3 0.771 0.271 0.687
Ni4 0.729 0.729 0.313
Ni5 0.271 0.771 0.687
Ni6 0.728 0.728 0.816
Ni7 0.229 0.729 0.313
Ni8 0.272 0.272 0.184

Results
* DOS at the Fermi energy: 15.1 states/eV/f.u.
* volume: 172 Å³/f.u.
* theoretical density: 11.9 g/cm³
* raw total energy: -92.802 eV/cell
* ΔH_f (0 K): 0.207 eV per atom



[4]
The following is a DFT calculation (GGA-PBE) of a relaxed ZrTcP4 crystal.

abc: 5.019 5.019 5.019
angles: 60.00 60.00 60.00
Element x y z (fractional)
Zr1 0.000 0.000 0.000
Tc1 0.250 0.250 0.250
P1 0.127 0.624 0.624
P2 0.624 0.624 0.624
P3 0.624 0.127 0.624
P4 0.624 0.624 0.127

Results
* DOS at the Fermi energy: 3.6 states/eV/f.u.
* volume: 89 Å³/f.u.
* theoretical density: 5.8 g/cm³
* raw total energy: -38.593 eV/cell
* ΔH_f (0 K): 0.327 eV per atom